# 1
Compound: CuTcO2F
Source: Alexandria via LeMat-Bulk
Functional: PBE
Structure: optimized geometry

abc: 4.313 3.749 4.313
angles: 90.00 90.00 90.00
Last column: magnetic moment on the atom in μB.
Atoms (fractional coordinates):
Cu1 0.500 0.500 0.500  0.15
O1 0.500 0.000 0.000  -0.30
Tc1 0.000 0.500 0.000  3.14
F1 0.000 0.000 0.000  -0.04
O2 0.000 0.000 0.500  -0.55

Calculated values
- Fermi-level density of states (states/eV per cell) = 2.05
- electronic total energy (eV for the cell shown) = -21.44
- formation energy from raw total energies (meV per atom) = 961.8

# 2
Compound: CuTeO2F
Source: Alexandria via LeMat-Bulk
Functional: PBE
Structure: optimized geometry

abc: 3.965 3.965 3.860
angles: 90.00 90.00 90.00
Atoms (fractional coordinates):
O1 0.000 0.500 0.000
Cu1 0.000 0.000 0.000
Te1 0.500 0.500 0.500
O2 0.500 0.000 0.000
F1 0.000 0.000 0.500

Calculated values
- Fermi-level density of states (states/eV per cell) = 3.01
- electronic total energy (eV for the cell shown) = -20.96
- formation energy from raw total energies (meV per atom) = -386.0